# 1
! LiTmHf PBE optimized geometry; values from VASP
! - E above lowest polymorph (meV/atom) = 0.0
! - total magnetic moment (μB/f.u.) = 0.00
! - energy of formation (meV per atom) = 180
&SYSTEM
  ibrav = 0, nat = 3, ntyp = 3
/
ATOMIC_SPECIES
Li 6.94 Li.upf
Tm 168.93 Tm.upf
Hf 178.49 Hf.upf
CELL_PARAMETERS angstrom
-1.644 1.644 6.539
1.644 -1.644 6.539
1.644 1.644 -6.539
ATOMIC_POSITIONS crystal
Li 0.000 0.000 0.000
Tm 0.679 0.679 0.000
Hf 0.343 0.343 0.000

=====

# 2
! SrLiTmBr6 PBE optimized geometry; values from VASP
! - total magnetic moment (μB/f.u.) = 0.00
! - formation energy from raw total energies (eV per atom) = -1.86
&SYSTEM
  ibrav = 0, nat = 18, ntyp = 4
/
ATOMIC_SPECIES
Sr 87.62 Sr.upf
Li 6.94 Li.upf
Tm 168.93 Tm.upf
Br 79.90 Br.upf
CELL_PARAMETERS angstrom
7.111 0.000 0.000
-3.555 6.158 0.000
0.000 0.000 13.392
ATOMIC_POSITIONS crystal
Sr 0.000 0.000 0.000
Sr 0.000 0.000 0.500
Li 0.333 0.667 0.250
Li 0.667 0.333 0.750
Tm 0.333 0.667 0.750
Tm 0.667 0.333 0.250
Br 0.000 0.357 0.133
Br 0.000 0.357 0.633
Br 0.000 0.643 0.367
Br 0.000 0.643 0.867
Br 0.357 0.000 0.133
Br 0.357 0.000 0.633
Br 0.357 0.357 0.367
Br 0.357 0.357 0.867
Br 0.643 0.000 0.367
Br 0.643 0.000 0.867
Br 0.643 0.643 0.133
Br 0.643 0.643 0.633

=====

# 3
! UNi4H8Pd PBE optimized geometry; values from VASP
! - VASP energy (eV/atom) = -4.72
! - total magnetic moment (μB/f.u.) = 2.38
&SYSTEM
  ibrav = 0, nat = 14, ntyp = 4
/
ATOMIC_SPECIES
U 238.03 U.upf
Ni 58.69 Ni.upf
H 1.01 H.upf
Pd 106.42 Pd.upf
CELL_PARAMETERS angstrom
2.496 1.441 5.512
-2.496 1.441 5.512
0.000 -2.882 5.512
ATOMIC_POSITIONS crystal
U 0.000 0.000 0.000
Ni 0.003 0.003 0.495
Ni 0.003 0.495 0.003
Ni 0.495 0.003 0.003
Ni 0.604 0.604 0.604
H 0.207 0.725 0.725
H 0.229 0.229 0.229
H 0.278 0.278 0.782
H 0.278 0.782 0.278
H 0.696 0.696 0.696
H 0.725 0.207 0.725
H 0.725 0.725 0.207
H 0.782 0.278 0.278
Pd 0.340 0.340 0.340

=====

# 4
! Th6Te3Ir2Ru PBE optimized geometry; values from VASP
! - total magnetic moment (μB/f.u.) = 0.00
! - formation energy from raw total energies (eV per atom) = -1.06
&SYSTEM
  ibrav = 0, nat = 12, ntyp = 4
/
ATOMIC_SPECIES
Th 232.04 Th.upf
Te 127.60 Te.upf
Ir 192.22 Ir.upf
Ru 101.07 Ru.upf
CELL_PARAMETERS angstrom
9.793 -2.098 0.000
9.793 2.098 0.000
-3.061 0.000 8.564
ATOMIC_POSITIONS crystal
Th 0.010 0.010 0.221
Th 0.323 0.323 0.443
Th 0.346 0.346 0.892
Th 0.654 0.654 0.108
Th 0.677 0.677 0.557
Th 0.990 0.990 0.779
Te 0.167 0.167 0.833
Te 0.500 0.500 0.500
Te 0.833 0.833 0.167
Ir 0.167 0.167 0.333
Ir 0.833 0.833 0.667
Ru 0.500 0.500 0.000